This record from Alexandria via LeMat-Bulk describes a PBEsol-optimized structure of K4ZnW3O12. The functional is meta-GGA SCAN.

Properties
Formation energy from raw total energies: -2267.6 meV/atom
Theoretical density: 4.5 Mg/m³
Final energy: -752.0 eV/cell

a = 7.875 Å, b = 9.797 Å, c = 10.065 Å
α = 95.00°, β = 106.39°, γ = 105.58°
Fractional coordinates of all 40 atoms:
W 0.878 0.185 0.364
W 0.122 0.815 0.636
K 0.208 0.220 0.758
W 0.612 0.603 0.848
O 0.033 0.621 0.221
W 0.769 0.272 0.824
O 0.294 0.871 0.553
O 0.446 0.730 0.298
O 0.683 0.776 0.953
O 0.593 0.626 0.672
O 0.615 0.500 0.149
O 0.317 0.224 0.047
O 0.554 0.270 0.702
O 0.215 0.904 0.211
Zn 0.836 0.443 0.139
O 0.215 0.486 0.089
O 0.785 0.096 0.789
Zn 0.164 0.557 0.861
W 0.231 0.728 0.176
O 0.762 0.270 0.005
O 0.238 0.730 0.995
K 0.500 0.000 0.000
O 0.101 0.208 0.486
O 0.967 0.379 0.779
O 0.122 0.639 0.680
O 0.899 0.792 0.514
K 0.748 0.474 0.532
K 0.361 0.115 0.432
O 0.785 0.514 0.911
O 0.167 0.946 0.787
O 0.385 0.500 0.851
K 0.252 0.526 0.468
O 0.706 0.129 0.447
O 0.407 0.374 0.328
K 0.639 0.885 0.568
K 0.000 0.000 0.000
W 0.388 0.397 0.152
O 0.833 0.054 0.213
K 0.792 0.780 0.242
O 0.878 0.361 0.320